(1)
4
Lattice="2.272 1.312 4.397 -2.272 1.312 4.397 0.000 -2.624 4.397" Properties=species:S:1:pos:R:3 comment="PBE-GGA LiAl2Sn, optimized geometry" total_energy_ev_per_cell=-13.28 spacegroup="R3m (160)" crystal_system=trigonal formation_energy_ev_per_atom=0.031 pbc="T T T"
Li 0.000 0.000 0.000
Al 0.000 0.000 6.197
Al 0.000 0.000 9.616
Sn 0.000 0.000 3.138



(2)
4
Lattice="1.850 1.068 11.248 -1.850 1.068 11.248 0.000 -2.136 11.248" Properties=species:S:1:pos:R:3 comment="PBE-GGA ThUI2, optimized geometry" total_energy_ev_per_cell=-22.33 formation_energy_uncorrected_ev_per_fu=-0.52 spacegroup="R-3m (166)" crystal_system=trigonal pbc="T T T"
Th 0.000 0.000 0.000
U 0.000 0.000 16.873
I 0.000 0.000 13.665
I 0.000 0.000 20.080



(3)
4
Lattice="5.986 -2.133 0.000 5.986 2.133 0.000 -0.396 0.000 4.832" Properties=species:S:1:pos:R:3 comment="PBE-GGA La2AlTe, optimized geometry" total_energy_ev_per_cell=-20.01 formation_energy_uncorrected_ev_per_fu=-3.27 spacegroup="Cm (8)" crystal_system=monoclinic pbc="T T T"
La 0.000 0.000 0.000
La 8.568 0.000 2.534
Al 5.458 0.000 2.386
Te 3.283 0.000 0.180



(4)
20
Lattice="7.131 -4.849 0.000 7.131 4.849 0.000 -0.436 0.000 9.141" Properties=species:S:1:pos:R:3 comment="PBE-GGA Tb6YEr2Pu, optimized geometry" total_energy_ev_per_cell=-111.59 spacegroup="C2/c (15)" crystal_system=monoclinic formation_energy_ev_per_atom=0.191 pbc="T T T"
Tb 5.679 3.885 5.509
Tb 4.774 2.274 9.090
Tb 7.928 3.885 8.203
Tb 4.944 1.268 3.784
Tb 8.833 2.274 4.621
Tb 4.726 -1.268 8.354
Tb 9.099 1.268 0.787
Tb 4.992 -2.274 4.520
Tb 8.881 -1.268 5.357
Tb 5.897 -3.885 0.938
Tb 9.051 -2.274 0.051
Tb 8.146 -3.885 3.632
Y 6.803 0.652 6.856
Y 7.022 -0.652 2.285
Er 3.039 0.722 6.395
Er 3.257 -0.722 1.825
Er 10.568 0.722 7.316
Er 10.786 -0.722 2.746
Pu 7.022 3.129 2.285
Pu 6.803 -3.129 6.856



(5)
9
Lattice="-1.954 1.954 8.365 1.954 -1.954 8.365 1.954 1.954 -8.365" Properties=species:S:1:pos:R:3 comment="PBE-GGA La2SmH6, optimized geometry" total_energy_ev_per_cell=-40.61 spacegroup="I4/mmm (139)" crystal_system=tetragonal pbc="T T T"
La 0.000 0.000 2.743
La 0.000 0.000 13.987
Sm 0.000 0.000 8.365
H 1.954 0.000 1.298
H 1.954 0.000 4.182
H 1.954 0.000 7.067
H 0.000 1.954 1.298
H 0.000 1.954 4.182
H 0.000 1.954 7.067



(6)
4
Lattice="2.830 0.000 0.000 0.000 4.482 0.000 0.000 0.000 5.489" Properties=species:S:1:pos:R:3 comment="PBE-GGA TaWCl2, optimized geometry" total_energy_ev_per_cell=-26.02 formation_energy_uncorrected_ev_per_fu=2.48 spacegroup="Pmmm (47)" crystal_system=orthorhombic pbc="T T T"
Ta 0.000 0.000 0.000
W 1.415 0.000 2.745
Cl 0.000 2.241 2.745
Cl 1.415 2.241 0.000



(7)
5
Lattice="4.335 0.000 0.000 0.000 4.335 0.000 0.000 0.000 4.335" Properties=species:S:1:pos:R:3 comment="PBE-GGA FeNi3Hg, optimized geometry" total_energy_ev_per_cell=-21.75 spacegroup="Pm-3m (221)" crystal_system=cubic formation_energy_ev_per_atom=0.872 pbc="T T T"
Fe 0.000 0.000 0.000
Ni 0.000 0.000 2.168
Ni 0.000 2.168 0.000
Ni 2.168 0.000 0.000
Hg 2.168 2.168 2.168



(8)
5
Lattice="4.892 0.000 0.000 0.000 4.892 0.000 0.000 0.000 4.892" Properties=species:S:1:pos:R:3 comment="PBE-GGA TlTc3Ni, optimized geometry" total_energy_ev_per_cell=-24.16 spacegroup="Pm-3m (221)" crystal_system=cubic formation_energy_ev_per_atom=3.018 pbc="T T T"
Tl 0.000 0.000 0.000
Tc 0.000 0.000 2.446
Tc 0.000 2.446 0.000
Tc 2.446 0.000 0.000
Ni 2.446 2.446 2.446